Arrangement A

# Mn3O4F2

A crystal of Mn3O4F2 relaxed with PBEsol (meta-GGA SCAN, the Alexandria database).

Unit cell a=4.5210 b=5.4235 c=7.4706 alpha=85.57 beta=88.85 gamma=88.23
Atoms (fractional coordinates):
Mn1 0.0000 0.0000 0.0000
Mn2 0.0041 0.3529 0.6938
Mn3 0.4682 0.8219 0.6589
Mn4 0.5004 0.5090 0.0127
Mn5 0.5198 0.1623 0.3374
Mn6 0.9831 0.6778 0.3347
O1 0.1876 0.7072 0.1062
O2 0.2011 0.0477 0.7748
O3 0.3028 0.8770 0.4372
O4 0.3037 0.5437 0.7784
O5 0.6913 0.4617 0.2410
O6 0.8007 0.9640 0.2288
O7 0.8030 0.6342 0.5707
O8 0.8043 0.3028 0.9106
F1 0.2003 0.3692 0.4458
F2 0.2889 0.2000 0.1102
F3 0.6945 0.8139 0.8898
F4 0.7083 0.1377 0.5812

Results
D(E_F): 1.82 states/eV/f.u.
M_tot: 11.000 μB per formula unit
crystal system: triclinic

***

Arrangement B

# Mn3O4F2

A crystal of Mn3O4F2 relaxed with PBEsol (meta-GGA SCAN, the Alexandria database).

Unit cell a=5.4433 b=5.4433 c=7.3557 alpha=110.59 beta=110.59 gamma=69.35
Atoms (fractional coordinates):
Mn1 0.0000 0.0000 0.0000
Mn2 0.0017 0.0017 0.5196
Mn3 0.3428 0.3428 0.8383
Mn4 0.3495 0.3495 0.3400
Mn5 0.6667 0.6667 0.1885
Mn6 0.6831 0.6831 0.6599
O1 0.0364 0.6451 0.3431
O2 0.3072 0.6999 0.0129
O3 0.3709 0.9781 0.6745
O4 0.5752 0.5752 0.3834
O5 0.6451 0.0364 0.3431
O6 0.6999 0.3072 0.0129
O7 0.9035 0.9035 0.7139
O8 0.9781 0.3709 0.6745
F1 0.1117 0.1117 0.3034
F2 0.2359 0.2359 0.0380
F3 0.4540 0.4540 0.6470
F4 0.7637 0.7637 0.9662

Results
D(E_F): 1.78 states/eV/f.u.
M_tot: 11.000 μB per formula unit
crystal system: monoclinic

***

So which one is most stable? That would be arrangement B, about 2.1 kJ/mol of atoms below the next structure.

***

Arrangement A

# Mn3O4F2

A crystal of Mn3O4F2 relaxed with PBEsol (meta-GGA SCAN, the Alexandria database).

Unit cell a=4.5333 b=4.5333 c=8.9335 alpha=90.00 beta=90.00 gamma=90.00
Atoms (fractional coordinates):
Mn1 0.0000 0.0000 0.0000
Mn2 0.0000 0.0000 0.3169
Mn3 0.0000 0.0000 0.6831
Mn4 0.5000 0.5000 0.1831
Mn5 0.5000 0.5000 0.5000
Mn6 0.5000 0.5000 0.8169
O1 0.1961 0.1961 0.1642
O2 0.1961 0.1961 0.8358
O3 0.3039 0.6961 0.3358
O4 0.3039 0.6961 0.6642
O5 0.6961 0.3039 0.3358
O6 0.6961 0.3039 0.6642
O7 0.8039 0.8039 0.1642
O8 0.8039 0.8039 0.8358
F1 0.1849 0.1849 0.5000
F2 0.3151 0.6849 0.0000
F3 0.6849 0.3151 0.0000
F4 0.8151 0.8151 0.5000

Results
D(E_F): 1.27 states/eV/f.u.
M_tot: 11.000 μB per formula unit
crystal system: tetragonal

***

Arrangement B

# Mn3O4F2

A crystal of Mn3O4F2 relaxed with PBEsol (meta-GGA SCAN, the Alexandria database).

Unit cell a=4.4648 b=4.4648 c=8.5602 alpha=90.19 beta=90.19 gamma=89.99
Atoms (fractional coordinates):
Mn1 0.0000 0.0000 0.0000
Mn2 0.0326 0.0241 0.6504
Mn3 0.5061 0.4939 0.5000
Mn4 0.5296 0.4514 0.8392
Mn5 0.5486 0.4704 0.1608
Mn6 0.9759 0.9674 0.3496
O1 0.2126 0.7874 0.5000
O2 0.3215 0.2927 0.6658
O3 0.3267 0.2787 0.9991
O4 0.7073 0.6785 0.3342
O5 0.7213 0.6733 0.0009
O6 0.8059 0.1941 0.5000
O7 0.8217 0.1767 0.1779
O8 0.8233 0.1783 0.8221
F1 0.2177 0.7713 0.1761
F2 0.2287 0.7823 0.8239
F3 0.3097 0.2768 0.3358
F4 0.7232 0.6903 0.6642

Results
D(E_F): 0.91 states/eV/f.u.
M_tot: 4.006 μB per formula unit
crystal system: monoclinic

***

So which one is most stable? That would be arrangement A, about 5.2 kJ/mol of atoms below the next structure.

***

Arrangement A

# Mn3O4F2

A crystal of Mn3O4F2 relaxed with PBEsol (meta-GGA SCAN, the Alexandria database).

Unit cell a=5.3910 b=5.4194 c=6.8675 alpha=73.98 beta=73.63 gamma=75.74
Atoms (fractional coordinates):
Mn1 0.0000 0.0000 0.0000
Mn2 0.0000 0.0000 0.5000
Mn3 0.3049 0.3458 0.1741
Mn4 0.3106 0.3591 0.6664
Mn5 0.6894 0.6409 0.3336
Mn6 0.6951 0.6542 0.8259
O1 0.0349 0.6519 0.6636
O2 0.0875 0.1196 0.7034
O3 0.2169 0.2472 0.9637
O4 0.4278 0.4352 0.3729
O5 0.5722 0.5648 0.6271
O6 0.7831 0.7528 0.0363
O7 0.9125 0.8804 0.2966
O8 0.9651 0.3481 0.3364
F1 0.3282 0.7122 0.9826
F2 0.3903 0.9468 0.3319
F3 0.6097 0.0532 0.6681
F4 0.6718 0.2878 0.0174

Results
D(E_F): 0.28 states/eV/f.u.
M_tot: 11.000 μB per formula unit
crystal system: triclinic

***

Arrangement B

# Mn3O4F2

A crystal of Mn3O4F2 relaxed with PBEsol (meta-GGA SCAN, the Alexandria database).

Unit cell a=8.9788 b=4.5250 c=4.4993 alpha=90.00 beta=90.00 gamma=90.00
Atoms (fractional coordinates):
Mn1 0.0000 0.2448 0.0000
Mn2 0.1591 0.7806 0.5315
Mn3 0.3409 0.2194 0.0315
Mn4 0.5000 0.7552 0.5000
Mn5 0.6591 0.2194 0.0315
Mn6 0.8409 0.7806 0.5315
O1 0.0000 0.5705 0.7211
O2 0.0000 0.9635 0.3287
O3 0.1716 0.0620 0.8357
O4 0.3284 0.9380 0.3357
O5 0.5000 0.0365 0.8287
O6 0.5000 0.4295 0.2211
O7 0.6716 0.9380 0.3357
O8 0.8284 0.0620 0.8357
F1 0.1699 0.4553 0.2278
F2 0.3301 0.5447 0.7278
F3 0.6699 0.5447 0.7278
F4 0.8301 0.4553 0.2278

Results
D(E_F): 1.59 states/eV/f.u.
M_tot: 11.000 μB per formula unit
crystal system: orthorhombic

***

So which one is most stable? That would be arrangement A, about 2.0 kJ/mol of atoms below the next structure.

***

Arrangement A

# Mn3OF5

A crystal of Mn3OF5 relaxed with PBEsol (meta-GGA SCAN, the Alexandria database).

Unit cell a=4.7717 b=5.7641 c=7.9354 alpha=86.97 beta=88.27 gamma=88.44
Atoms (fractional coordinates):
Mn1 0.0000 0.0000 0.0000
Mn2 0.0228 0.3097 0.6638
Mn3 0.4767 0.8463 0.6790
Mn4 0.5000 0.5000 0.0000
Mn5 0.5233 0.1537 0.3210
Mn6 0.9772 0.6903 0.3362
O1 0.1849 0.0333 0.7828
O2 0.8151 0.9667 0.2172
F1 0.2009 0.7017 0.0989
F2 0.2026 0.3779 0.4208
F3 0.2973 0.2010 0.0988
F4 0.3012 0.5326 0.7649
F5 0.3024 0.8718 0.4374
F6 0.6976 0.1282 0.5626
F7 0.6988 0.4674 0.2351
F8 0.7027 0.7990 0.9012
F9 0.7974 0.6221 0.5792
F10 0.7991 0.2983 0.9011

Results
D(E_F): 1.83 states/eV/f.u.
M_tot: 14.000 μB per formula unit
crystal system: triclinic

***

Arrangement B

# Mn3OF5

A crystal of Mn3OF5 relaxed with PBEsol (meta-GGA SCAN, the Alexandria database).

Unit cell a=5.7778 b=5.7778 c=7.3322 alpha=106.39 beta=106.39 gamma=74.42
Atoms (fractional coordinates):
Mn1 0.0000 0.0000 0.0000
Mn2 0.0000 0.0000 0.5000
Mn3 0.3410 0.3410 0.3211
Mn4 0.3518 0.3518 0.8443
Mn5 0.6482 0.6482 0.1557
Mn6 0.6590 0.6590 0.6789
O1 0.4348 0.4348 0.1221
O2 0.5652 0.5652 0.8779
F1 0.0273 0.6465 0.8195
F2 0.1248 0.1248 0.8076
F3 0.2496 0.2496 0.5492
F4 0.2970 0.7030 0.5000
F5 0.3535 0.9727 0.1805
F6 0.6465 0.0273 0.8195
F7 0.7030 0.2970 0.5000
F8 0.7504 0.7504 0.4508
F9 0.8752 0.8752 0.1924
F10 0.9727 0.3535 0.1805

Results
M_tot: 14.000 μB per formula unit
crystal system: monoclinic

***

So which one is most stable? That would be arrangement B, about 1.8 kJ/mol of atoms below the next structure.